[1]
Here is an optimized crystal structure of GeS2F from Alexandria via LeMat-Bulk. Energies are from GGA-PBEsol.

For the raw formation energy, the calculation gives 0.118 eV per atom.

Cell lengths 2.7398, 2.7398, 25.9284 Å; angles 90.00, 90.00, 120.00 degrees
Space group R-3m (No. 166, hexagonal axes)
Asymmetric unit:
Ge1 0.0000 0.0000 0.0000 (multiplicity 3)
S1 0.0000 0.0000 0.0924 (multiplicity 6)
F1 0.0000 0.0000 0.5000 (multiplicity 3)

[2]
Here is an optimized crystal structure of Ca3SiCl from Alexandria via LeMat-Bulk. Energies are from GGA-PBEsol.

For the raw formation energy, the calculation gives -0.541 eV per atom.

Cell lengths 5.091, 5.091, 5.091 Å; angles 90.00, 90.00, 90.00 degrees
Space group Pm-3m (No. 221)
Asymmetric unit:
Ca1 0.000 0.000 0.500 (multiplicity 3)
Si1 0.500 0.500 0.500 (multiplicity 1)
Cl1 0.000 0.000 0.000 (multiplicity 1)

[3]
Here is an optimized crystal structure of Li3SiPd from Alexandria via LeMat-Bulk. Energies are from GGA-PBEsol.

For the raw formation energy, the calculation gives 0.471 eV per atom.

Cell lengths 4.526, 4.526, 4.526 Å; angles 90.00, 90.00, 90.00 degrees
Space group Pm-3m (No. 221)
Asymmetric unit:
Li1 0.000 0.000 0.500 (multiplicity 3)
Si1 0.000 0.000 0.000 (multiplicity 1)
Pd1 0.500 0.500 0.500 (multiplicity 1)

[4]
Here is an optimized crystal structure of Mn5Ir4 from Alexandria via LeMat-Bulk. Energies are from GGA-PBEsol.

As for the energy relative to the elements: -81 meV per atom.

Cell lengths 7.728, 7.728, 3.674 Å; angles 90.00, 90.00, 90.00 degrees
Space group I4/mmm (No. 139)
Asymmetric unit:
Mn1 0.000 0.000 0.000 (multiplicity 2)
Mn2 0.163 0.163 0.500 (multiplicity 8)
Ir1 0.000 0.321 0.000 (multiplicity 8)

[5]
Here is an optimized crystal structure of MgTi4O6 from Alexandria via LeMat-Bulk. Energies are from GGA-PBEsol.

For the raw formation energy, the calculation gives -2.733 eV per atom.

Cell lengths 2.903, 9.788, 14.772 Å; angles 90.00, 90.00, 90.00 degrees
Space group Cmcm (No. 63)
Asymmetric unit:
Mg1 0.000 0.159 0.250 (multiplicity 4)
Ti1 0.000 0.098 0.630 (multiplicity 8)
Ti2 0.000 0.354 0.540 (multiplicity 8)
O1 0.000 0.000 0.000 (multiplicity 4)
O2 0.000 0.186 0.750 (multiplicity 4)
O3 0.000 0.264 0.096 (multiplicity 8)
O4 0.000 0.455 0.662 (multiplicity 8)

[6]
Here is an optimized crystal structure of InHPd2 from Alexandria via LeMat-Bulk. Energies are from GGA-PBEsol.

For the raw total energy, the calculation gives -78.6 eV for the cell shown.

Cell lengths 6.081, 6.081, 5.691 Å; angles 90.00, 90.00, 90.00 degrees
Space group I-42d (No. 122)
Asymmetric unit:
In1 0.000 0.000 0.000 (multiplicity 4)
H1 0.000 0.000 0.500 (multiplicity 4)
Pd1 0.139 0.250 0.625 (multiplicity 8)

[7]
Here is an optimized crystal structure of TcBrN2O from Alexandria via LeMat-Bulk. Energies are from GGA-PBEsol.

For the raw formation energy, the calculation gives 2.088 eV per atom.

Cell lengths 3.971, 3.971, 3.711 Å; angles 90.00, 90.00, 90.00 degrees
Space group P4/mmm (No. 123)
Asymmetric unit:
Tc1 0.000 0.000 0.000 (multiplicity 1)
Br1 0.500 0.500 0.500 (multiplicity 1)
N1 0.000 0.500 0.500 (multiplicity 2)
O1 0.500 0.500 0.000 (multiplicity 1)

[8]
Here is an optimized crystal structure of BaSn2Rh from Alexandria via LeMat-Bulk. Energies are from GGA-PBEsol.

As for the energy relative to the elements: -103 meV per atom.

Cell lengths 7.249, 7.249, 7.249 Å; angles 90.00, 90.00, 90.00 degrees
Space group Fm-3m (No. 225)
Asymmetric unit:
Ba1 0.000 0.000 0.000 (multiplicity 4)
Sn1 0.250 0.250 0.250 (multiplicity 8)
Rh1 0.000 0.000 0.500 (multiplicity 4)

[9]
Here is an optimized crystal structure of BePt3 from Alexandria via LeMat-Bulk. Energies are from GGA-PBEsol.

As for the energy relative to the elements: -372 meV per atom.

Cell lengths 5.280, 7.750, 5.264 Å; angles 90.00, 90.00, 90.00 degrees
Space group Pnma (No. 62)
Asymmetric unit:
Be1 0.042 0.250 0.039 (multiplicity 4)
Pt1 0.001 0.250 0.506 (multiplicity 4)
Pt2 0.182 0.502 0.818 (multiplicity 8)

[10]
Here is an optimized crystal structure of MgAg2Te from Alexandria via LeMat-Bulk. Energies are from GGA-PBEsol.

For the raw formation energy, the calculation gives -0.105 eV per atom.

Cell lengths 4.106, 4.106, 9.583 Å; angles 90.00, 90.00, 90.00 degrees
Space group I4/mmm (No. 139)
Asymmetric unit:
Mg1 0.000 0.000 0.000 (multiplicity 2)
Ag1 0.000 0.500 0.250 (multiplicity 4)
Te1 0.000 0.000 0.500 (multiplicity 2)

[11]
Here is an optimized crystal structure of Be2TlBF from Alexandria via LeMat-Bulk. Energies are from GGA-PBEsol.

For the raw formation energy, the calculation gives -0.025 eV per atom.

Cell lengths 3.659, 3.659, 5.192 Å; angles 90.00, 90.00, 90.00 degrees
Space group P4/mmm (No. 123)
Asymmetric unit:
Be1 0.000 0.500 0.000 (multiplicity 2)
Tl1 0.000 0.000 0.500 (multiplicity 1)
B1 0.500 0.500 0.000 (multiplicity 1)
F1 0.500 0.500 0.500 (multiplicity 1)

[12]
Here is an optimized crystal structure of K2SnPtRh from Alexandria via LeMat-Bulk. Energies are from GGA-PBEsol.

As for the energy relative to the elements: 843 meV per atom.

Cell lengths 5.657, 5.657, 4.728 Å; angles 90.00, 90.00, 90.00 degrees
Space group P4/mmm (No. 123)
Asymmetric unit:
K1 0.000 0.500 0.000 (multiplicity 2)
Sn1 0.000 0.000 0.500 (multiplicity 1)
Pt1 0.500 0.500 0.500 (multiplicity 1)
Rh1 0.500 0.500 0.000 (multiplicity 1)

[13]
Here is an optimized crystal structure of Y2Ru from Alexandria via LeMat-Bulk. Energies are from GGA-PBEsol.

As for the energy relative to the elements: -255 meV per atom.

Cell lengths 7.5267, 7.5267, 4.1938 Å; angles 90.00, 90.00, 120.00 degrees
Space group P-62m (No. 189)
Asymmetric unit:
Y1 0.0000 0.4118 0.0000 (multiplicity 3)
Y2 0.0000 0.7426 0.5000 (multiplicity 3)
Ru1 0.0000 0.0000 0.0000 (multiplicity 1)
Ru2 0.3333 0.6667 0.5000 (multiplicity 2)

[14]
Here is an optimized crystal structure of Al3Au5 from Alexandria via LeMat-Bulk. Energies are from GGA-PBEsol.

As for the energy relative to the elements: -311 meV per atom.

Cell lengths 12.785, 13.738, 6.316 Å; angles 90.00, 90.00, 90.00 degrees
Space group Fmm2 (No. 42)
Asymmetric unit:
Al1 0.000 0.170 0.000 (multiplicity 8)
Al2 0.159 0.000 0.492 (multiplicity 8)
Al3 0.250 0.250 0.385 (multiplicity 8)
Au1 0.000 0.000 0.214 (multiplicity 4)
Au2 0.000 0.000 0.754 (multiplicity 4)
Au3 0.108 0.176 0.631 (multiplicity 16)
Au4 0.183 0.108 0.139 (multiplicity 16)

[15]
Here is an optimized crystal structure of CsY3Sb from Alexandria via LeMat-Bulk. Energies are from GGA-PBEsol.

For the raw formation energy, the calculation gives 0.224 eV per atom.

Cell lengths 5.859, 5.859, 5.859 Å; angles 90.00, 90.00, 90.00 degrees
Space group Pm-3m (No. 221)
Asymmetric unit:
Cs1 0.000 0.000 0.000 (multiplicity 1)
Y1 0.000 0.500 0.500 (multiplicity 3)
Sb1 0.500 0.500 0.500 (multiplicity 1)

[16]
Here is an optimized crystal structure of Mo2SeSF from Alexandria via LeMat-Bulk. Energies are from GGA-PBEsol.

For the raw formation energy, the calculation gives 1.272 eV per atom.

Cell lengths 4.784, 4.784, 4.719 Å; angles 90.00, 90.00, 90.00 degrees
Space group P4/mmm (No. 123)
Asymmetric unit:
Mo1 0.000 0.500 0.000 (multiplicity 2)
Se1 0.000 0.000 0.000 (multiplicity 1)
S1 0.000 0.000 0.500 (multiplicity 1)
F1 0.500 0.500 0.500 (multiplicity 1)

[17]
Here is an optimized crystal structure of AlRuPb2 from Alexandria via LeMat-Bulk. Energies are from GGA-PBEsol.

As for the energy relative to the elements: 137 meV per atom.

Cell lengths 8.713, 3.194, 7.018 Å; angles 90.00, 108.88, 90.00 degrees
Space group Cm (No. 8)
Asymmetric unit:
Al1 0.000 0.000 0.000 (multiplicity 2)
Ru1 0.215 0.500 0.992 (multiplicity 2)
Pb1 0.192 0.000 0.663 (multiplicity 2)
Pb2 0.362 0.000 0.328 (multiplicity 2)

[18]
Here is an optimized crystal structure of Hf3HgTe from Alexandria via LeMat-Bulk. Energies are from GGA-PBEsol.

For the raw formation energy, the calculation gives 0.905 eV per atom.

Cell lengths 5.130, 5.130, 5.130 Å; angles 90.00, 90.00, 90.00 degrees
Space group Pm-3m (No. 221)
Asymmetric unit:
Hf1 0.000 0.000 0.500 (multiplicity 3)
Hg1 0.500 0.500 0.500 (multiplicity 1)
Te1 0.000 0.000 0.000 (multiplicity 1)

[19]
Here is an optimized crystal structure of SnSeI2 from Alexandria via LeMat-Bulk. Energies are from GGA-PBEsol.

For the raw formation energy, the calculation gives 0.169 eV per atom.

Cell lengths 7.630, 7.630, 7.630 Å; angles 90.00, 90.00, 90.00 degrees
Space group Fm-3m (No. 225)
Asymmetric unit:
Sn1 0.000 0.000 0.000 (multiplicity 4)
Se1 0.000 0.000 0.500 (multiplicity 4)
I1 0.250 0.250 0.250 (multiplicity 8)

[20]
Here is an optimized crystal structure of RbLiSn3 from Alexandria via LeMat-Bulk. Energies are from GGA-PBEsol.

As for the energy relative to the elements: 1129 meV per atom.

Cell lengths 6.000, 6.000, 6.000 Å; angles 90.00, 90.00, 90.00 degrees
Space group Pm-3m (No. 221)
Asymmetric unit:
Rb1 0.000 0.000 0.000 (multiplicity 1)
Li1 0.500 0.500 0.500 (multiplicity 1)
Sn1 0.000 0.000 0.500 (multiplicity 3)

[21]
Here is an optimized crystal structure of BaRhPb2 from Alexandria via LeMat-Bulk. Energies are from GGA-PBEsol.

As for the energy relative to the elements: -310 meV per atom.

Cell lengths 4.5777, 4.5777, 18.6782 Å; angles 90.00, 90.00, 120.00 degrees
Space group R-3m (No. 166, hexagonal axes)
Asymmetric unit:
Ba1 0.0000 0.0000 0.0000 (multiplicity 3)
Rh1 0.0000 0.0000 0.5000 (multiplicity 3)
Pb1 0.0000 0.0000 0.2161 (multiplicity 6)

[22]
Here is an optimized crystal structure of Al3Ge from Alexandria via LeMat-Bulk. Energies are from GGA-PBEsol.

As for the energy relative to the elements: 77 meV per atom.

Cell lengths 3.969, 3.969, 8.459 Å; angles 90.00, 90.00, 90.00 degrees
Space group I4/mmm (No. 139)
Asymmetric unit:
Al1 0.000 0.000 0.000 (multiplicity 2)
Al2 0.000 0.500 0.250 (multiplicity 4)
Ge1 0.000 0.000 0.500 (multiplicity 2)

[23]
Here is an optimized crystal structure of Tl2SbSe from Alexandria via LeMat-Bulk. Energies are from GGA-PBEsol.

For the raw formation energy, the calculation gives 0.043 eV per atom.

Cell lengths 7.473, 7.473, 7.473 Å; angles 90.00, 90.00, 90.00 degrees
Space group Fm-3m (No. 225)
Asymmetric unit:
Tl1 0.250 0.250 0.250 (multiplicity 8)
Sb1 0.000 0.000 0.000 (multiplicity 4)
Se1 0.000 0.000 0.500 (multiplicity 4)

[24]
Here is an optimized crystal structure of Sc2TcRh from Alexandria via LeMat-Bulk. Energies are from GGA-PBEsol.

As for the energy relative to the elements: -505 meV per atom.

Cell lengths 3.163, 3.163, 6.484 Å; angles 90.00, 90.00, 90.00 degrees
Space group P4/mmm (No. 123)
Asymmetric unit:
Sc1 0.000 0.000 0.249 (multiplicity 2)
Tc1 0.500 0.500 0.000 (multiplicity 1)
Rh1 0.500 0.500 0.500 (multiplicity 1)

[25]
Here is an optimized crystal structure of MnP2Br from Alexandria via LeMat-Bulk. Energies are from GGA-PBEsol.

For the raw formation energy, the calculation gives 0.441 eV per atom.

Cell lengths 3.476, 3.476, 12.342 Å; angles 90.00, 90.00, 90.00 degrees
Space group I4/mmm (No. 139)
Asymmetric unit:
Mn1 0.000 0.000 0.000 (multiplicity 2)
P1 0.000 0.500 0.250 (multiplicity 4)
Br1 0.000 0.000 0.500 (multiplicity 2)

[26]
Here is an optimized crystal structure of TiFe3Cl from Alexandria via LeMat-Bulk. Energies are from GGA-PBEsol.

For the raw formation energy, the calculation gives 1.400 eV per atom.

Cell lengths 4.402, 4.402, 4.402 Å; angles 90.00, 90.00, 90.00 degrees
Space group Pm-3m (No. 221)
Asymmetric unit:
Ti1 0.000 0.000 0.000 (multiplicity 1)
Fe1 0.000 0.000 0.500 (multiplicity 3)
Cl1 0.500 0.500 0.500 (multiplicity 1)